First-principles (PBE) data for RbFe5 after structural relaxation, as listed in OQMD.

The value obtained for the raw total energy is -37.77 eV per cell. For the density, the calculation gives 6.26 g cm⁻³. The calculated volume is 16.12 A^3/atom.

The space group is P6/mmm (No. 191) and the conventional cell measures 5.3753, 5.3753 and 3.8650 Å, with angles of 90.00, 90.00 and 120.00 degrees. Symmetry generates all atoms from Rb at (0.0000, 0.0000, 0.0000), Fe at (0.0000, 0.5000, 0.5000) and Fe at (0.3333, 0.6667, 0.0000).